Record 1
First-principles (PBE) data for crystalline Tb4IrPd at its relaxed geometry, as listed in Alexandria via LeMat-Bulk.

a = 4.8607 Å, b = 4.8607 Å, c = 6.9121 Å
α = 90.00°, β = 90.00°, γ = 90.00°
Element x y z (fractional)
Tb  0.0000  0.5000  0.2422
Tb  0.0000  0.5000  0.7578
Tb  0.5000  0.0000  0.2422
Tb  0.5000  0.0000  0.7578
Ir  0.0000  0.0000  0.0000
Pd  0.5000  0.5000  0.5000

Values from the calculation:
DFT formation energy in eV/atom: -0.58
E above lowest polymorph in eV per formula unit: 0.32
Fermi-level density of states in states/eV per cell: 6.12


Record 2
First-principles (PBE) data for crystalline Ho4PbAuSe2 at its relaxed geometry, as listed in Alexandria via LeMat-Bulk.

a = 7.0220 Å, b = 4.0113 Å, c = 7.7281 Å
α = 90.00°, β = 107.60°, γ = 90.00°
Element x y z (fractional)
Ho  0.2351  0.0000  0.2308
Ho  0.2406  0.5000  0.7582
Ho  0.7594  0.5000  0.2418
Ho  0.7649  0.0000  0.7692
Pb  0.5000  0.5000  0.5000
Au  0.0000  0.0000  0.5000
Se  0.0000  0.5000  0.0000
Se  0.5000  0.0000  0.0000

Values from the calculation:
Fermi-level density of states in states/eV per cell: 3.41
E_form (uncorrected) in eV/f.u.: -9.3


Record 3
First-principles (PBE) data for crystalline InCuPtAu at its relaxed geometry, as listed in Alexandria via LeMat-Bulk.

a = 4.9693 Å, b = 4.9693 Å, c = 4.0434 Å
α = 113.90°, β = 113.90°, γ = 48.00°
Element x y z (fractional)
In  0.0000  0.0000  0.0000
Cu  0.5000  0.5000  0.5000
Pt  0.2500  0.2500  0.7497
Au  0.7500  0.7500  0.2502

Values from the calculation:
DFT formation energy in eV/atom: -0.21
Fermi-level density of states in states/eV per cell: 1.52


Record 4
First-principles (PBE) data for crystalline BaHBr at its relaxed geometry, as listed in Alexandria via LeMat-Bulk.

a = 4.5617 Å, b = 4.5617 Å, c = 5.9101 Å
α = 112.44°, β = 112.44°, γ = 60.03°
Element x y z (fractional)
Ba  0.0000  0.0000  0.0000
H  0.6895  0.6895  0.0692
Br  0.2071  0.2071  0.6172

Values from the calculation:
VASP energy in eV per atom: -3.620
Fermi-level density of states in states/eV per cell: 0.00


Record 5
First-principles (PBE) data for crystalline Sm3Ho2Tl6 at its relaxed geometry, as listed in Alexandria via LeMat-Bulk.

a = 15.0297 Å, b = 15.0297 Å, c = 15.0297 Å
α = 161.62°, β = 161.62°, γ = 26.10°
Element x y z (fractional)
Sm  0.0000  0.0000  0.0000
Sm  0.1991  0.1991  0.0000
Sm  0.8009  0.8009  0.0000
Ho  0.4463  0.4463  0.0000
Ho  0.5537  0.5537  0.0000
Tl  0.1176  0.6176  0.5000
Tl  0.3055  0.3055  0.0000
Tl  0.3824  0.8824  0.5000
Tl  0.6176  0.1176  0.5000
Tl  0.6945  0.6945  0.0000
Tl  0.8824  0.3824  0.5000

Values from the calculation:
DFT formation energy in eV/atom: -0.08
Fermi-level density of states in states/eV per cell: 8.90


Record 6
First-principles (PBE) data for crystalline Dy5Tm4Th2 at its relaxed geometry, as listed in Alexandria via LeMat-Bulk.

a = 13.1166 Å, b = 13.1166 Å, c = 13.1166 Å
α = 165.10°, β = 139.14°, γ = 43.73°
Element x y z (fractional)
Dy  0.0000  0.0000  0.0000
Dy  0.1644  0.3428  0.8215
Dy  0.4787  0.6572  0.8215
Dy  0.5213  0.3428  0.1785
Dy  0.8356  0.6572  0.1785
Tm  0.2403  0.7403  0.5000
Tm  0.3158  0.5000  0.8158
Tm  0.6842  0.5000  0.1842
Tm  0.7597  0.2597  0.5000
Th  0.1079  0.6079  0.5000
Th  0.8921  0.3921  0.5000

Values from the calculation:
DFT formation energy in eV/atom: 0.52
E above lowest polymorph in eV per formula unit: 5.15
Fermi-level density of states in states/eV per cell: 17.71


Record 7
First-principles (PBE) data for crystalline NbGaNiRh at its relaxed geometry, as listed in Alexandria via LeMat-Bulk.

a = 4.6494 Å, b = 4.6494 Å, c = 4.6494 Å
α = 129.99°, β = 129.99°, γ = 73.43°
Element x y z (fractional)
Nb  0.0000  0.0000  0.0000
Ga  0.5000  0.5000  0.0000
Ni  0.7500  0.2500  0.5000
Rh  0.2500  0.7500  0.5000

Values from the calculation:
DFT formation energy in eV/atom: -0.44
Fermi-level density of states in states/eV per cell: 4.36


Record 8
First-principles (PBE) data for crystalline KReS2N at its relaxed geometry, as listed in Alexandria via LeMat-Bulk.

a = 5.4755 Å, b = 5.4755 Å, c = 4.6679 Å
α = 90.00°, β = 90.00°, γ = 90.00°
Element x y z (fractional)
K  0.0000  0.0000  0.0000
Re  0.5000  0.5000  0.5000
S  0.0000  0.5000  0.0000
S  0.5000  0.0000  0.0000
N  0.0000  0.0000  0.5000

Values from the calculation:
E above lowest polymorph in eV per formula unit: 13.90
Fermi-level density of states in states/eV per cell: 4.18
E_form (uncorrected) in eV/f.u.: 12.9